# SnBiN2O, optimized geometry, DFT PBE
data_SnBiN2O
_symmetry_space_group_name_H-M 'P 4/m m m'
_symmetry_Int_Tables_number 123
_symmetry_space_group_name_Hall '-P 4 2'
_cell_length_a 4.355
_cell_length_b 4.355
_cell_length_c 4.283
_cell_angle_alpha 90.00
_cell_angle_beta 90.00
_cell_angle_gamma 90.00
loop_
_atom_site_label
_atom_site_type_symbol
_atom_site_fract_x
_atom_site_fract_y
_atom_site_fract_z
Sn1 Sn 0.000 0.000 0.000
Bi1 Bi 0.500 0.500 0.500
N1 N 0.000 0.500 0.500
O1 O 0.500 0.500 0.000
# Spin magnetization = 1.17 Bohr magnetons per cell
# Formation energy from raw total energies = 0.8904 eV/atom